# Nd3P4Rh4

Crystalline Nd3P4Rh4 at its relaxed geometry (PBE-GGA, Alexandria).

Geometry as CIF:
```
data_Nd3P4Rh4
_space_group_name_H-M_alt 'P -1'
_space_group_IT_number 2
_cell_length_a 4.0208
_cell_length_b 4.0965
_cell_length_c 12.4701
_cell_angle_alpha 80.56
_cell_angle_beta 80.76
_cell_angle_gamma 89.99
loop_
_space_group_symop_operation_xyz
'x,y,z'
'-x,-y,-z'
loop_
_atom_site_label
_atom_site_fract_x
_atom_site_fract_y
_atom_site_fract_z
Nd1 0.0000 0.0000 0.0000
Nd2 0.1463 0.6458 0.7092
P1 0.3070 0.8067 0.3858
P2 0.4486 0.4506 0.0977
Rh1 0.2475 0.2476 0.5048
Rh2 0.4043 0.9034 0.1923
```

***

# NdP3Rh3

Crystalline NdP3Rh3 at its relaxed geometry (PBE-GGA, Alexandria).

Geometry as CIF:
```
data_NdP3Rh3
_space_group_name_H-M_alt 'R -3'
_space_group_IT_number 148
_space_group_name_Hall '-R 3'
_cell_length_a 6.7433
_cell_length_b 6.7433
_cell_length_c 20.1080
_cell_angle_alpha 90.00
_cell_angle_beta 90.00
_cell_angle_gamma 120.00
loop_
_atom_site_label
_atom_site_fract_x
_atom_site_fract_y
_atom_site_fract_z
Nd1 0.0000 0.0000 0.1665
P1 0.0027 0.6830 0.5928
Rh1 0.0037 0.6613 0.3780
```

***

Computed DFT formation energy, in the same sequence as the records: -1.1976; -0.8802 eV per atom.